1.
12
Lattice="5.438 0.000 0.000 0.000 5.438 0.000 -2.719 -2.719 5.304" Properties=species:S:1:pos:R:3 comment="SrYNp2O8 | Alexandria via LeMat-Bulk | GGA-PBE | relaxed" e_form_raw_mev_per_atom=-2995 rho_kg_m3=8243 e_tot_ev_per_fu=-109.6 total_magnetization_mub_per_atom=0.2500 spacegroup="I-4m2, No. 119" pbc="T T T"
O -1.218 -1.406 4.011
Np 0.000 2.719 2.652
Y 0.000 0.000 0.000
O 4.123 3.936 1.292
O 1.218 -1.404 4.012
Np 2.719 2.719 0.000
Sr 2.719 0.000 2.652
O 1.313 3.937 1.293
O 4.125 1.501 1.293
O -1.218 1.404 4.012
O 1.218 1.406 4.011
O 1.315 1.501 1.292

---

2.
12
Lattice="-2.878 0.718 -2.720 -0.130 -5.291 -0.681 -5.345 -0.576 5.503" Properties=species:S:1:pos:R:3 comment="SrY2NpO8 | Alexandria via LeMat-Bulk | GGA-PBE | relaxed" e_form_raw_mev_per_atom=-2879 rho_kg_m3=6354 e_tot_ev_per_fu=-101.8 total_magnetization_mub_per_atom=0.0793 spacegroup="P2/m, No. 10" pbc="T T T"
O -4.176 -3.685 0.935
O -4.422 -4.450 3.768
Y -2.777 -2.424 -0.390
O -1.347 -0.879 -1.401
O -7.064 -1.038 1.559
O -1.289 -4.112 0.543
O -1.661 -3.694 -2.000
O -3.931 -0.700 -1.666
O -4.177 -1.465 1.167
Y -5.576 -2.726 2.492
Np 0.000 0.000 0.000
Sr -2.673 -0.288 2.751

---

3.
10
Lattice="5.959 0.000 0.000 2.980 5.161 0.000 2.979 1.720 5.156" Properties=species:S:1:pos:R:3 comment="SrY2NpO6 | Alexandria via LeMat-Bulk | GGA-PBE | relaxed" e_form_raw_mev_per_atom=-3198 rho_kg_m3=6267 e_tot_ev_per_fu=-89.3 total_magnetization_mub_per_atom=0.3000 spacegroup="R3, No. 146" pbc="T T T"
O 7.995 3.583 1.210
Y 5.959 3.441 2.166
O 6.953 2.140 3.913
Y 2.980 1.720 4.878
Np 2.980 1.720 0.298
O 6.588 4.952 3.913
Sr 8.939 5.161 3.152
O 4.336 3.230 3.913
O 4.817 5.132 1.209
O 5.065 1.606 1.209